# 1
Below is a geometry-optimized Tb12Ho3Zr structure, with properties calculated at the GGA-PBE level.

CIF file:
```
data_Tb12Ho3Zr
_cell_length_a 4.994
_cell_length_b 4.994
_cell_length_c 19.900
_cell_angle_alpha 90.00
_cell_angle_beta 90.00
_cell_angle_gamma 90.00
_space_group_name_H-M_alt 'P 1'
_space_group_IT_number 1
loop_
_space_group_symop_operation_xyz
'x,y,z'
loop_
_atom_site_label
_atom_site_fract_x
_atom_site_fract_y
_atom_site_fract_z
Tb1 0.500 0.500 0.000
Tb2 0.500 0.500 0.247
Tb3 0.500 0.500 0.500
Tb4 0.500 0.500 0.753
Tb5 0.500 0.000 0.118
Tb6 0.500 0.000 0.373
Tb7 0.500 0.000 0.627
Tb8 0.500 0.000 0.882
Tb9 0.000 0.500 0.118
Tb10 0.000 0.500 0.373
Tb11 0.000 0.500 0.627
Tb12 0.000 0.500 0.882
Ho1 0.000 0.000 0.248
Ho2 0.000 0.000 0.500
Ho3 0.000 0.000 0.752
Zr1 0.000 0.000 0.000
```

- Fermi-level density of states: 21.308 states/eV/f.u.
- Space-group type: No. 123
- Density: 8.34 g cm⁻³
- Calculated formation energy: 57 kJ/mol of formula units
- V: 496 Å³/f.u.

# 2
Below is a geometry-optimized Tb7Ho12Zr structure, with properties calculated at the GGA-PBE level.

CIF file:
```
data_Tb7Ho12Zr
_cell_length_a 8.625
_cell_length_b 8.625
_cell_length_c 8.625
_cell_angle_alpha 90.99
_cell_angle_beta 90.99
_cell_angle_gamma 90.99
_space_group_name_H-M_alt 'P 1'
_space_group_IT_number 1
loop_
_space_group_symop_operation_xyz
'x,y,z'
loop_
_atom_site_label
_atom_site_fract_x
_atom_site_fract_y
_atom_site_fract_z
Tb1 0.962 0.667 0.060
Tb2 0.333 0.940 0.038
Tb3 0.940 0.038 0.333
Tb4 0.500 0.500 0.500
Tb5 0.060 0.962 0.667
Tb6 0.667 0.060 0.962
Tb7 0.038 0.333 0.940
Ho1 0.781 0.236 0.635
Ho2 0.764 0.365 0.219
Ho3 0.454 0.128 0.364
Ho4 0.872 0.636 0.546
Ho5 0.365 0.219 0.764
Ho6 0.636 0.546 0.872
Ho7 0.364 0.454 0.128
Ho8 0.635 0.781 0.236
Ho9 0.128 0.364 0.454
Ho10 0.546 0.872 0.636
Ho11 0.236 0.635 0.781
Ho12 0.219 0.764 0.365
Zr1 0.000 0.000 0.000
```

- Fermi-level density of states: 37.192 states/eV/f.u.
- Space-group type: No. 148
- Density: 8.24 g cm⁻³
- Calculated formation energy: 516 kJ/mol of formula units
- V: 641 Å³/f.u.

# 3
Below is a geometry-optimized Tb4Ho7Zr structure, with properties calculated at the GGA-PBE level.

CIF file:
```
data_Tb4Ho7Zr
_cell_length_a 7.079
_cell_length_b 6.119
_cell_length_c 11.216
_cell_angle_alpha 79.51
_cell_angle_beta 50.91
_cell_angle_gamma 90.04
_space_group_name_H-M_alt 'P 1'
_space_group_IT_number 1
loop_
_space_group_symop_operation_xyz
'x,y,z'
loop_
_atom_site_label
_atom_site_fract_x
_atom_site_fract_y
_atom_site_fract_z
Tb1 0.426 0.726 0.328
Tb2 0.574 0.274 0.672
Tb3 0.326 0.783 0.674
Tb4 0.674 0.217 0.326
Ho1 0.757 0.500 0.000
Ho2 0.243 0.500 0.000
Ho3 0.082 0.274 0.673
Ho4 0.918 0.726 0.327
Ho5 0.837 0.775 0.664
Ho6 0.500 0.000 0.000
Ho7 0.163 0.225 0.336
Zr1 0.000 0.000 0.000
```

- Fermi-level density of states: 16.619 states/eV/f.u.
- Space-group type: No. 2
- Density: 8.52 g cm⁻³
- Calculated formation energy: 34 kJ/mol of formula units
- V: 367 Å³/f.u.

# 4
Below is a geometry-optimized Tb2Ho4Zr structure, with properties calculated at the GGA-PBE level.

CIF file:
```
data_Tb2Ho4Zr
_cell_length_a 3.510
_cell_length_b 3.510
_cell_length_c 19.655
_cell_angle_alpha 90.00
_cell_angle_beta 90.00
_cell_angle_gamma 120.00
_space_group_name_H-M_alt 'P 1'
_space_group_IT_number 1
loop_
_space_group_symop_operation_xyz
'x,y,z'
loop_
_atom_site_label
_atom_site_fract_x
_atom_site_fract_y
_atom_site_fract_z
Tb1 0.715 0.431 0.094
Tb2 0.714 0.428 0.385
Ho1 0.048 0.097 0.949
Ho2 0.380 0.761 0.535
Ho3 0.048 0.097 0.240
Ho4 0.381 0.762 0.799
Zr1 0.714 0.428 0.666
```

- Fermi-level density of states: 9.036 states/eV/f.u.
- Space-group type: No. 8
- Density: 8.46 g cm⁻³
- Calculated formation energy: 25 kJ/mol of formula units
- V: 210 Å³/f.u.